Here is a relaxed structure of LaNpRh4 from Alexandria. Energies are from PBE.

Cell: 7.609 7.609 7.609 Å, 90.00 90.00 90.00°
Space group F-43m (No. 216)
Symmetry-distinct sites (fractional):
La 0.000 0.000 0.000 (multiplicity 4)
Np 0.250 0.250 0.750 (multiplicity 4)
Rh 0.124 0.124 0.376 (multiplicity 16)

**DOS(E_F)**: 40.96 states/eV/cell
**Energy relative to the elements**: -0.48 eV/atom
**Magnetization**: 0.595 μB per atom